No. 1
Compound: Pm3PPb
Source: the Alexandria database
Functional: PBE
Structure: relaxed

ΔE_f, eV per formula unit: -4.0

Cell lengths 9.5942, 9.5942, 6.8150 Å; angles 94.33, 94.33, 98.24 degrees
Positions (direct):
Pm1 0.0408 0.7744 0.9441
Pm2 0.1627 0.5740 0.3883
Pm3 0.2256 0.9592 0.5559
Pm4 0.2985 0.4396 0.8859
Pm5 0.4260 0.8373 0.1117
Pm6 0.4396 0.2985 0.3859
Pm7 0.5604 0.7015 0.6141
Pm8 0.5740 0.1627 0.8883
Pm9 0.7015 0.5604 0.1141
Pm10 0.7744 0.0408 0.4441
Pm11 0.8373 0.4260 0.6117
Pm12 0.9592 0.2256 0.0559
P1 0.2862 0.7138 0.7500
P2 0.4320 0.5680 0.2500
P3 0.5680 0.4320 0.7500
P4 0.7138 0.2862 0.2500
Pb1 0.0935 0.2487 0.5319
Pb2 0.2487 0.0935 0.0319
Pb3 0.7513 0.9065 0.9681
Pb4 0.9065 0.7513 0.4681

---

No. 2
Compound: Pm6P4Pb
Source: the Alexandria database
Functional: PBE
Structure: relaxed

ΔE_f, eV per formula unit: -14.3

Cell lengths 7.1514, 7.1514, 21.2275 Å; angles 90.00, 90.00, 146.20 degrees
Positions (direct):
Pm1 0.0000 0.0000 0.0000
Pm2 0.0000 0.0000 0.5000
Pm3 0.1611 0.8389 0.7500
Pm4 0.2727 0.7273 0.0809
Pm5 0.2727 0.7273 0.4191
Pm6 0.4605 0.5395 0.6567
Pm7 0.4605 0.5395 0.8433
Pm8 0.5395 0.4605 0.1567
Pm9 0.5395 0.4605 0.3433
Pm10 0.7273 0.2727 0.5809
Pm11 0.7273 0.2727 0.9191
Pm12 0.8389 0.1611 0.2500
P1 0.0921 0.9079 0.6240
P2 0.0921 0.9079 0.8760
P3 0.3624 0.6376 0.5410
P4 0.3624 0.6376 0.9590
P5 0.6376 0.3624 0.0410
P6 0.6376 0.3624 0.4590
P7 0.9079 0.0921 0.1240
P8 0.9079 0.0921 0.3760
Pb1 0.1620 0.8380 0.2500
Pb2 0.8380 0.1620 0.7500

---

No. 3
Compound: Pm2PPb
Source: the Alexandria database
Functional: PBE
Structure: relaxed

ΔE_f, eV per formula unit: -3.3

Cell lengths 3.5576, 3.5576, 8.2521 Å; angles 90.00, 90.00, 90.00 degrees
Positions (direct):
Pm1 0.0000 0.0000 0.2035
Pm2 0.0000 0.0000 0.7965
P1 0.5000 0.5000 0.0000
Pb1 0.5000 0.5000 0.5000

---

No. 4
Compound: Pm3PPb
Source: the Alexandria database
Functional: PBE
Structure: relaxed

ΔE_f, eV per formula unit: -3.7

Cell lengths 5.4225, 5.4225, 5.4225 Å; angles 90.00, 90.00, 90.00 degrees
Positions (direct):
Pm1 0.0000 0.0000 0.5000
Pm2 0.0000 0.5000 0.0000
Pm3 0.5000 0.0000 0.0000
P1 0.0000 0.0000 0.0000
Pb1 0.5000 0.5000 0.5000

---

No. 5
Compound: Pm8PPb2
Source: the Alexandria database
Functional: PBE
Structure: relaxed

ΔE_f, eV per formula unit: -4.8

Cell lengths 9.5269, 9.5269, 8.7731 Å; angles 94.52, 94.52, 26.38 degrees
Positions (direct):
Pm1 0.0068 0.0068 0.2160
Pm2 0.2081 0.2081 0.3642
Pm3 0.3470 0.3470 0.9715
Pm4 0.4058 0.4058 0.4602
Pm5 0.5942 0.5942 0.5398
Pm6 0.6530 0.6530 0.0285
Pm7 0.7919 0.7919 0.6358
Pm8 0.9932 0.9932 0.7840
P1 0.5000 0.5000 0.0000
Pb1 0.1790 0.1790 0.7680
Pb2 0.8210 0.8210 0.2320

---

No. 6
Compound: Pm2PPb
Source: the Alexandria database
Functional: PBE
Structure: relaxed

ΔE_f, eV per formula unit: -2.2

Cell lengths 7.5300, 7.5300, 7.5300 Å; angles 90.00, 90.00, 90.00 degrees
Positions (direct):
Pm1 0.2500 0.2500 0.2500
Pm2 0.2500 0.2500 0.7500
Pm3 0.2500 0.7500 0.2500
Pm4 0.2500 0.7500 0.7500
Pm5 0.7500 0.2500 0.2500
Pm6 0.7500 0.2500 0.7500
Pm7 0.7500 0.7500 0.2500
Pm8 0.7500 0.7500 0.7500
P1 0.0000 0.0000 0.0000
P2 0.0000 0.5000 0.5000
P3 0.5000 0.0000 0.5000
P4 0.5000 0.5000 0.0000
Pb1 0.0000 0.0000 0.5000
Pb2 0.0000 0.5000 0.0000
Pb3 0.5000 0.0000 0.0000
Pb4 0.5000 0.5000 0.5000

---

No. 7
Compound: Pm12PPb6
Source: the Alexandria database
Functional: PBE
Structure: relaxed

ΔE_f, eV per formula unit: -7.2

Cell lengths 8.8600, 8.8600, 8.8600 Å; angles 98.84, 98.84, 98.84 degrees
Positions (direct):
Pm1 0.0102 0.9330 0.6821
Pm2 0.0670 0.3179 0.9898
Pm3 0.1952 0.5542 0.4236
Pm4 0.3179 0.9898 0.0670
Pm5 0.4236 0.1952 0.5542
Pm6 0.4458 0.5764 0.8048
Pm7 0.5542 0.4236 0.1952
Pm8 0.5764 0.8048 0.4458
Pm9 0.6821 0.0102 0.9330
Pm10 0.8048 0.4458 0.5764
Pm11 0.9330 0.6821 0.0102
Pm12 0.9898 0.0670 0.3179
P1 0.0000 0.0000 0.0000
Pb1 0.1209 0.3070 0.6442
Pb2 0.3070 0.6442 0.1209
Pb3 0.3558 0.8791 0.6930
Pb4 0.6442 0.1209 0.3070
Pb5 0.6930 0.3558 0.8791
Pb6 0.8791 0.6930 0.3558

---

No. 8
Compound: Pm6PPb2
Source: the Alexandria database
Functional: PBE
Structure: relaxed

ΔE_f, eV per formula unit: -5.4

Cell lengths 8.5307, 8.5307, 4.2524 Å; angles 90.00, 90.00, 120.00 degrees
Positions (direct):
Pm1 0.0000 0.3986 0.0000
Pm2 0.0000 0.7548 0.5000
Pm3 0.2452 0.2452 0.5000
Pm4 0.3986 0.0000 0.0000
Pm5 0.6014 0.6014 0.0000
Pm6 0.7548 0.0000 0.5000
P1 0.0000 0.0000 0.0000
Pb1 0.3333 0.6667 0.5000
Pb2 0.6667 0.3333 0.5000

---

No. 9
Compound: Pm2PPb
Source: the Alexandria database
Functional: PBE
Structure: relaxed

ΔE_f, eV per formula unit: -4.2

Cell lengths 4.0472, 4.0472, 24.3431 Å; angles 90.00, 90.00, 120.00 degrees
Positions (direct):
Pm1 0.0000 0.0000 0.2336
Pm2 0.0000 0.0000 0.7664
Pm3 0.3333 0.6667 0.4331
Pm4 0.3333 0.6667 0.9002
Pm5 0.6667 0.3333 0.0998
Pm6 0.6667 0.3333 0.5669
P1 0.0000 0.0000 0.5000
P2 0.3333 0.6667 0.1667
P3 0.6667 0.3333 0.8333
Pb1 0.0000 0.0000 0.0000
Pb2 0.3333 0.6667 0.6667
Pb3 0.6667 0.3333 0.3333

---

No. 10
Compound: Pm6P3PbS2
Source: the Alexandria database
Functional: PBE
Structure: relaxed

Calculated total energy, eV for the cell shown: -75.297

Cell lengths 9.3465, 9.3465, 8.4341 Å; angles 103.10, 103.10, 25.54 degrees
Positions (direct):
Pm1 0.0006 0.0006 0.2713
Pm2 0.3256 0.3256 0.9162
Pm3 0.3346 0.3346 0.4111
Pm4 0.6654 0.6654 0.5889
Pm5 0.6744 0.6744 0.0838
Pm6 0.9994 0.9994 0.7287
P1 0.1661 0.1661 0.8313
P2 0.5000 0.5000 0.5000
P3 0.8339 0.8339 0.1687
Pb1 0.5000 0.5000 0.0000
S1 0.1701 0.1701 0.3391
S2 0.8299 0.8299 0.6609

---

No. 11
Compound: Pm4PPbSe2
Source: the Alexandria database
Functional: PBE
Structure: relaxed

Calculated total energy, eV for the cell shown: -46.675

Cell lengths 7.4044, 4.2689, 7.4486 Å; angles 90.00, 109.40, 90.00 degrees
Positions (direct):
Pm1 0.2399 0.0000 0.2342
Pm2 0.2514 0.5000 0.7641
Pm3 0.7486 0.5000 0.2359
Pm4 0.7601 0.0000 0.7658
P1 0.0000 0.5000 0.0000
Pb1 0.0000 0.0000 0.5000
Se1 0.5000 0.0000 0.0000
Se2 0.5000 0.5000 0.5000

---

No. 12
Compound: Pm4Te2PPb
Source: the Alexandria database
Functional: PBE
Structure: relaxed

Calculated total energy, eV for the cell shown: -44.550

Cell lengths 7.6299, 4.3826, 7.7032 Å; angles 90.00, 109.09, 90.00 degrees
Positions (direct):
Pm1 0.2279 0.0000 0.2224
Pm2 0.2417 0.5000 0.7662
Pm3 0.7583 0.5000 0.2338
Pm4 0.7721 0.0000 0.7776
Te1 0.0000 0.0000 0.5000
Te2 0.5000 0.5000 0.5000
P1 0.0000 0.5000 0.0000
Pb1 0.5000 0.0000 0.0000

---

Listing DOS at the Fermi energy for the structures above in their given order: 0.87 0.32 0.80 0.70 1.27 1.37 1.15 1.39 0.38 0.25 0.27 0.25 states/eV per atom.